(1)
Density functional theory data (PBE) for an optimized crystal structure of Rb2InAgCl6.

Properties
The crystal system is cubic.

Lattice parameters (Å, degrees): 7.460 7.460 7.460 60.00 60.00 60.00
Sites, in units of the cell vectors:
Rb 0.750 0.750 0.750
Rb 0.250 0.250 0.250
In 0.000 0.000 0.000
Ag 0.500 0.500 0.500
Cl 0.758 0.242 0.242
Cl 0.242 0.242 0.758
Cl 0.242 0.758 0.758
Cl 0.242 0.758 0.242
Cl 0.758 0.242 0.758
Cl 0.758 0.758 0.242



(2)
Density functional theory data (PBE) for an optimized crystal structure of In2AgS3Cl.

Properties
The crystal system is trigonal.

Lattice parameters (Å, degrees): 7.736 7.736 7.736 61.13 61.13 61.13
Sites, in units of the cell vectors:
In 0.500 0.500 0.500
In 0.500 0.000 0.500
In 0.000 0.500 0.500
In 0.500 0.500 0.000
Ag 0.086 0.086 0.086
Ag 0.914 0.914 0.914
S 0.741 0.289 0.741
S 0.289 0.741 0.741
S 0.741 0.741 0.289
S 0.259 0.711 0.259
S 0.711 0.259 0.259
S 0.259 0.259 0.711
Cl 0.754 0.754 0.754
Cl 0.246 0.246 0.246



(3)
Density functional theory data (PBE) for an optimized crystal structure of In2AgSeCl.

Properties
The value obtained for the density of states at the Fermi level is 0.22 states/eV/cell. The crystal system is tetragonal.

Lattice parameters (Å, degrees): 5.782 4.830 5.782 90.00 90.00 90.00
Sites, in units of the cell vectors:
Cl 0.000 0.000 0.000
Se 0.500 0.500 0.500
Ag 0.000 0.500 0.000
In 0.000 0.000 0.500
In 0.500 0.000 0.000



For reference, DFT total energy by record: -32.071, -53.269, -13.091 eV/cell.
For reference, calculated density by record: 3430, 4641, 4647 kg/m³.
For reference, formation energy (no corrections) by record: -1347, -582, 114 meV per atom.